[1]
{"formula": "SrCo2Si", "functional": "PBE-GGA", "state": "optimized geometry", "e_form_raw_ev_per_atom": 0.26, "spacegroup": "Immm (71)", "m_tot_mub_per_cell": 1.4, "lattice_angstrom": [[-1.9263, 2.7048, 3.5658], [1.9263, -2.7048, 3.5658], [1.9263, 2.7048, -3.5658]], "species": ["Sr", "Co", "Co", "Si"], "fractional_positions": [[0.0000, 0.0000, 0.0000], [0.3307, 0.8307, 0.5000], [0.6693, 0.1693, 0.5000], [0.5000, 0.5000, 0.0000]]}

[2]
{"formula": "Li5ZnAu4", "functional": "PBE-GGA", "state": "optimized geometry", "delta_e_f_ev_per_atom": -0.470, "e_above_lowest_polymorph_mev_per_atom": 0.0, "spacegroup": "P4/mmm (123)", "m_tot_mub_per_cell": 0.0, "lattice_angstrom": [[3.2257, 0.0000, 0.0000], [0.0000, 3.2257, 0.0000], [0.0000, 0.0000, 14.7070]], "species": ["Li", "Li", "Li", "Li", "Li", "Zn", "Au", "Au", "Au", "Au"], "fractional_positions": [[0.0000, 0.0000, 0.0000], [0.0000, 0.0000, 0.2014], [0.0000, 0.0000, 0.3980], [0.0000, 0.0000, 0.6020], [0.0000, 0.0000, 0.7986], [0.5000, 0.5000, 0.5000], [0.5000, 0.5000, 0.1013], [0.5000, 0.5000, 0.3046], [0.5000, 0.5000, 0.6954], [0.5000, 0.5000, 0.8987]]}

[3]
{"formula": "Pr3Al2Cu7", "functional": "PBE-GGA", "state": "optimized geometry", "delta_e_f_ev_per_atom": -0.052, "spacegroup": "I4/mmm (139)", "m_tot_mub_per_cell": 0.0, "lattice_angstrom": [[-2.1541, 2.1541, 12.7076], [2.1541, -2.1541, 12.7076], [2.1541, 2.1541, -12.7076]], "species": ["Pr", "Pr", "Pr", "Al", "Al", "Cu", "Cu", "Cu", "Cu", "Cu", "Cu", "Cu"], "fractional_positions": [[0.0000, 0.0000, 0.0000], [0.1691, 0.1691, 0.0000], [0.8309, 0.8309, 0.0000], [0.3826, 0.3826, 0.0000], [0.6174, 0.6174, 0.0000], [0.0748, 0.5748, 0.5000], [0.2842, 0.2842, 0.0000], [0.4252, 0.9252, 0.5000], [0.5000, 0.5000, 0.0000], [0.5748, 0.0748, 0.5000], [0.7158, 0.7158, 0.0000], [0.9252, 0.4252, 0.5000]]}

[4]
{"formula": "Ce2HfPN5", "functional": "PBE-GGA", "state": "optimized geometry", "e_form_raw_ev_per_atom": -0.64, "spacegroup": "P4/mbm (127)", "m_tot_mub_per_cell": 0.0, "lattice_angstrom": [[6.3933, 0.0000, 0.0000], [0.0000, 6.3933, 0.0000], [0.0000, 0.0000, 5.5639]], "species": ["Ce", "Ce", "Ce", "Ce", "Hf", "Hf", "P", "P", "N", "N", "N", "N", "N", "N", "N", "N", "N", "N"], "fractional_positions": [[0.1749, 0.3251, 0.0000], [0.3251, 0.8251, 0.0000], [0.6749, 0.1749, 0.0000], [0.8251, 0.6749, 0.0000], [0.0000, 0.0000, 0.5000], [0.5000, 0.5000, 0.5000], [0.0000, 0.5000, 0.5000], [0.5000, 0.0000, 0.5000], [0.0000, 0.0000, 0.0000], [0.1402, 0.6402, 0.2860], [0.1402, 0.6402, 0.7140], [0.3598, 0.1402, 0.2860], [0.3598, 0.1402, 0.7140], [0.5000, 0.5000, 0.0000], [0.6402, 0.8598, 0.2860], [0.6402, 0.8598, 0.7140], [0.8598, 0.3598, 0.2860], [0.8598, 0.3598, 0.7140]]}

Number 1: DFT total energy -5.069 eV/atom. Number 2: DFT total energy -2.865 eV/atom. Number 3: DFT total energy -4.260 eV/atom. Number 4: DFT total energy -8.293 eV/atom.